1.
Pr12Ho7Pb, optimized geometry, DFT PBE-GGA; total magnetization = 0.048 μB/cell; V = 796.46 Å³/f.u.; D(E_F) = 1.821 states/eV/atom; ΔE_f = 0.629 eV per atom; symmetry = No. 204
1.0
9.536 0.000 -3.371
-4.768 8.258 -3.371
0.000 0.000 10.114
Pr Pb Ho
12 1 7
Direct
0.781 0.001 0.220
0.220 0.219 0.439
0.219 0.439 0.220
0.220 0.781 0.001
0.001 0.220 0.781
0.999 0.780 0.219
0.219 0.999 0.780
0.439 0.220 0.219
0.561 0.780 0.781
0.780 0.219 0.999
0.780 0.781 0.561
0.781 0.561 0.780
0.000 0.000 0.000
0.500 0.000 0.000
0.000 0.000 0.500
0.000 0.500 0.000
0.500 0.500 0.000
0.500 0.500 0.500
0.000 0.500 0.500
0.500 0.000 0.500

2.
BeAlHg2, optimized geometry, DFT PBE-GGA; total magnetization = 0.000 μB/cell; V = 74.31 Å³/f.u.; D(E_F) = 0.499 states/eV/atom; ΔE_f = 0.328 eV per atom; excess energy over the best structure of this formula in the dataset = 0.102 eV per atom; symmetry = No. 160
1.0
8.555 -0.009 -0.005
7.958 3.140 -0.005
7.958 1.509 2.754
Hg Be Al
2 1 1
Direct
0.014 0.014 0.014
0.245 0.245 0.245
0.751 0.751 0.751
0.489 0.489 0.489

3.
Sm3Y2TaN6, optimized geometry, DFT PBE-GGA; total magnetization = 0.000 μB/cell; V = 173.91 Å³/f.u.; D(E_F) = 0.154 states/eV/atom; E_form (uncorrected) = -144.8 kJ per mole of atoms; symmetry = No. 12
1.0
5.959 0.001 0.001
-2.977 5.162 0.001
-0.994 -1.720 5.653
N Y Ta Sm
6 2 1 3
Direct
0.768 0.768 0.229
0.618 0.925 0.776
0.232 0.232 0.771
0.382 0.075 0.224
0.075 0.382 0.224
0.925 0.618 0.776
0.333 0.667 0.000
0.667 0.333 0.000
0.000 0.000 0.000
0.500 0.500 0.500
0.167 0.833 0.500
0.833 0.167 0.500

4.
Rb2MnTc, optimized geometry, DFT PBE-GGA; total magnetization = 8.706 μB/cell; V = 195.41 Å³/f.u.; D(E_F) = 1.525 states/eV/atom; ΔE_f = 1.351 eV per atom; excess energy over the best structure of this formula in the dataset = 0.000 eV per atom; symmetry = No. 122
1.0
13.278 0.000 0.000
0.000 13.278 0.000
6.639 6.639 2.217
Rb Tc Mn
4 2 2
Direct
0.310 0.625 0.250
0.375 0.560 0.750
0.440 0.125 0.250
0.875 0.690 0.750
0.000 0.000 0.000
0.750 0.250 0.500
0.250 0.750 0.500
0.500 0.500 0.000

5.
NbSi2OsCl, optimized geometry, DFT PBE-GGA; total magnetization = 0.000 μB/cell; V = 86.73 Å³/f.u.; D(E_F) = 0.963 states/eV/atom; E_form (uncorrected) = 143.1 kJ per mole of atoms; symmetry = No. 123
1.0
4.435 0.000 0.000
0.000 4.409 0.000
0.000 0.000 4.435
Os Nb Si Cl
1 1 2 1
Direct
0.000 0.500 0.000
0.500 0.500 0.500
0.000 0.000 0.500
0.500 0.000 0.000
0.000 0.000 0.000

6.
La3Nd3Mg, optimized geometry, DFT PBE-GGA; total magnetization = 0.016 μB/cell; V = 241.87 Å³/f.u.; D(E_F) = 1.659 states/eV/atom; ΔE_f = 0.023 eV per atom; excess energy over the best structure of this formula in the dataset = 0.013 eV per atom; symmetry = No. 176
1.0
5.868 0.000 0.000
0.000 9.756 0.000
0.000 -4.878 8.449
Mg Nd La
2 6 6
Direct
0.250 0.667 0.333
0.750 0.333 0.667
0.250 0.104 0.479
0.750 0.896 0.521
0.750 0.479 0.376
0.750 0.624 0.104
0.250 0.521 0.624
0.250 0.376 0.896
0.250 0.812 0.059
0.750 0.059 0.246
0.250 0.941 0.754
0.750 0.188 0.941
0.750 0.754 0.812
0.250 0.246 0.188

7.
RbTi2FeCu, optimized geometry, DFT PBE-GGA; total magnetization = 0.274 μB/cell; V = 131.51 Å³/f.u.; D(E_F) = 1.251 states/eV/atom; ΔE_f = 1.472 eV per atom; symmetry = No. 123
1.0
4.811 0.000 0.000
0.000 5.681 0.000
0.000 0.000 4.811
Ti Fe Rb Cu
2 1 1 1
Direct
0.000 0.000 0.500
0.500 0.000 0.000
0.500 0.500 0.500
0.000 0.500 0.000
0.000 0.000 0.000

8.
Mn3NbAs, optimized geometry, DFT PBE-GGA; total magnetization = 8.411 μB/cell; V = 102.84 Å³/f.u.; D(E_F) = 1.399 states/eV/atom; ΔE_f = 1.329 eV per atom; excess energy over the best structure of this formula in the dataset = 0.501 eV per atom; symmetry = No. 221
1.0
-0.062 -4.100 2.267
-0.234 -2.262 -4.096
4.679 -0.167 -0.175
Mn Nb As
3 1 1
Direct
0.000 0.500 0.000
0.000 0.000 0.500
0.500 0.000 0.000
0.000 0.000 0.000
0.500 0.500 0.500

9.
CsMgICl2, optimized geometry, DFT PBE-GGA; total magnetization = 0.000 μB/cell; V = 180.01 Å³/f.u.; D(E_F) = 0.000 states/eV/atom; E_form (uncorrected) = -155.2 kJ per mole of atoms; symmetry = No. 63
1.0
-2.884 3.314 -1.383
-5.226 -6.339 3.375
0.559 3.911 8.211
Mg I Cl Cs
2 2 4 2
Direct
0.000 0.000 0.500
0.000 0.000 0.000
0.512 0.025 0.250
0.488 0.975 0.750
0.135 0.271 0.984
0.135 0.271 0.516
0.865 0.729 0.016
0.865 0.729 0.484
0.720 0.440 0.750
0.280 0.560 0.250